(1)
The following is a PBE calculation of an optimized crystal structure of Rb2RuSeI6, from the Alexandria database.

```
data_Rb2RuSeI6
_chemical_formula_sum 'Rb2 Ru1 Se1 I6'
_symmetry_space_group_name_H-M 'P 1'
_symmetry_Int_Tables_number 1
_symmetry_space_group_name_Hall 'P 1'
_cell_length_a 8.204
_cell_length_b 8.204
_cell_length_c 8.204
_cell_angle_alpha 118.85
_cell_angle_beta 118.85
_cell_angle_gamma 92.01
loop_
_atom_site_label
_atom_site_fract_x
_atom_site_fract_y
_atom_site_fract_z
Rb1 0.250 0.750 0.500
Rb2 0.750 0.250 0.500
Ru1 0.000 0.000 0.000
Se1 0.500 0.500 0.000
I1 0.233 0.233 0.466
I2 0.233 0.767 0.000
I3 0.244 0.244 0.000
I4 0.756 0.756 0.000
I5 0.767 0.233 0.000
I6 0.767 0.767 0.534
```

Values from the calculation:
SG = I4/mmm, No. 139
ΔE_f (raw) = -0.4471 eV/atom
Fermi-level density of states = 1.205 states/eV per atom
Calculated density = 4.65 Mg/m³
Calculated total energy = -2.85 eV/atom

---

(2)
The following is a PBE calculation of an optimized crystal structure of Rb2SiRuI6, from the Alexandria database.

```
data_Rb2SiRuI6
_chemical_formula_sum 'Rb2 Si1 Ru1 I6'
_symmetry_space_group_name_H-M 'P 1'
_symmetry_Int_Tables_number 1
_symmetry_space_group_name_Hall 'P 1'
_cell_length_a 8.048
_cell_length_b 8.048
_cell_length_c 8.048
_cell_angle_alpha 60.00
_cell_angle_beta 60.00
_cell_angle_gamma 60.00
loop_
_atom_site_label
_atom_site_fract_x
_atom_site_fract_y
_atom_site_fract_z
Rb1 0.250 0.250 0.250
Rb2 0.750 0.750 0.750
Si1 0.000 0.000 0.000
Ru1 0.500 0.500 0.500
I1 0.257 0.257 0.743
I2 0.257 0.743 0.257
I3 0.257 0.743 0.743
I4 0.743 0.257 0.257
I5 0.743 0.257 0.743
I6 0.743 0.743 0.257
```

Values from the calculation:
SG = Fm-3m, No. 225
ΔE_f (raw) = -0.4710 eV/atom
Fermi-level density of states = 0.640 states/eV per atom
Calculated density = 4.78 Mg/m³
Calculated total energy = -3.06 eV/atom

---

(3)
The following is a PBE calculation of an optimized crystal structure of Rb2SnRuI, from the Alexandria database.

```
data_Rb2SnRuI
_chemical_formula_sum 'Rb2 Sn1 Ru1 I1'
_symmetry_space_group_name_H-M 'P 1'
_symmetry_Int_Tables_number 1
_symmetry_space_group_name_Hall 'P 1'
_cell_length_a 7.052
_cell_length_b 7.052
_cell_length_c 5.027
_cell_angle_alpha 90.00
_cell_angle_beta 90.00
_cell_angle_gamma 90.00
loop_
_atom_site_label
_atom_site_fract_x
_atom_site_fract_y
_atom_site_fract_z
Rb1 0.000 0.500 0.000
Rb2 0.500 0.000 0.000
Sn1 0.000 0.000 0.000
Ru1 0.000 0.000 0.500
I1 0.500 0.500 0.500
```

Values from the calculation:
SG = P4/mmm, No. 123
ΔE_f (raw) = 0.2094 eV/atom
Fermi-level density of states = 1.333 states/eV per atom
Calculated density = 3.44 Mg/m³
Calculated total energy = -3.14 eV/atom

---

(4)
The following is a PBE calculation of an optimized crystal structure of Rb2TaRuI6, from the Alexandria database.

```
data_Rb2TaRuI6
_chemical_formula_sum 'Rb2 Ta1 Ru1 I6'
_symmetry_space_group_name_H-M 'P 1'
_symmetry_Int_Tables_number 1
_symmetry_space_group_name_Hall 'P 1'
_cell_length_a 8.109
_cell_length_b 8.109
_cell_length_c 8.109
_cell_angle_alpha 120.14
_cell_angle_beta 120.14
_cell_angle_gamma 89.75
loop_
_atom_site_label
_atom_site_fract_x
_atom_site_fract_y
_atom_site_fract_z
Rb1 0.250 0.750 0.500
Rb2 0.750 0.250 0.500
Ta1 0.000 0.000 0.000
Ru1 0.500 0.500 0.000
I1 0.248 0.248 0.000
I2 0.249 0.249 0.498
I3 0.249 0.751 0.000
I4 0.751 0.249 0.000
I5 0.751 0.751 0.502
I6 0.752 0.752 0.000
```

Values from the calculation:
SG = I4/mmm, No. 139
ΔE_f (raw) = -0.3627 eV/atom
Fermi-level density of states = 2.417 states/eV per atom
Calculated density = 5.36 Mg/m³
Calculated total energy = -3.60 eV/atom

---

(5)
The following is a PBE calculation of an optimized crystal structure of RbTeRuI2, from the Alexandria database.

```
data_RbTeRuI2
_chemical_formula_sum 'Rb1 Te1 Ru1 I2'
_symmetry_space_group_name_H-M 'P 1'
_symmetry_Int_Tables_number 1
_symmetry_space_group_name_Hall 'P 1'
_cell_length_a 5.877
_cell_length_b 5.877
_cell_length_c 5.015
_cell_angle_alpha 90.00
_cell_angle_beta 90.00
_cell_angle_gamma 90.00
loop_
_atom_site_label
_atom_site_fract_x
_atom_site_fract_y
_atom_site_fract_z
Rb1 0.000 0.000 0.000
Te1 0.500 0.500 0.000
Ru1 0.500 0.500 0.500
I1 0.000 0.500 0.500
I2 0.500 0.000 0.500
```

Values from the calculation:
SG = P4/mmm, No. 123
ΔE_f (raw) = -0.2836 eV/atom
Fermi-level density of states = 0.691 states/eV per atom
Calculated density = 5.44 Mg/m³
Calculated total energy = -3.58 eV/atom

---

(6)
The following is a PBE calculation of an optimized crystal structure of RbTeRuI2, from the Alexandria database.

```
data_RbTeRuI2
_chemical_formula_sum 'Rb1 Te1 Ru1 I2'
_symmetry_space_group_name_H-M 'P 1'
_symmetry_Int_Tables_number 1
_symmetry_space_group_name_Hall 'P 1'
_cell_length_a 6.684
_cell_length_b 6.684
_cell_length_c 6.516
_cell_angle_alpha 90.00
_cell_angle_beta 90.00
_cell_angle_gamma 90.00
loop_
_atom_site_label
_atom_site_fract_x
_atom_site_fract_y
_atom_site_fract_z
Rb1 0.000 0.000 0.000
Te1 0.000 0.000 0.500
Ru1 0.500 0.500 0.500
I1 0.000 0.500 0.000
I2 0.500 0.000 0.000
```

Values from the calculation:
SG = P4/mmm, No. 123
ΔE_f (raw) = 1.2126 eV/atom
Fermi-level density of states = 0.714 states/eV per atom
Calculated density = 3.24 Mg/m³
Calculated total energy = -2.08 eV/atom

---

(7)
The following is a PBE calculation of an optimized crystal structure of Rb2TlRuI6, from the Alexandria database.

```
data_Rb2TlRuI6
_chemical_formula_sum 'Rb2 Tl1 Ru1 I6'
_symmetry_space_group_name_H-M 'P 1'
_symmetry_Int_Tables_number 1
_symmetry_space_group_name_Hall 'P 1'
_cell_length_a 8.510
_cell_length_b 8.510
_cell_length_c 8.510
_cell_angle_alpha 60.00
_cell_angle_beta 60.00
_cell_angle_gamma 60.00
loop_
_atom_site_label
_atom_site_fract_x
_atom_site_fract_y
_atom_site_fract_z
Rb1 0.250 0.250 0.250
Rb2 0.750 0.750 0.750
Tl1 0.000 0.000 0.000
Ru1 0.500 0.500 0.500
I1 0.274 0.274 0.726
I2 0.274 0.726 0.274
I3 0.274 0.726 0.726
I4 0.726 0.274 0.274
I5 0.726 0.274 0.726
I6 0.726 0.726 0.274
```

Values from the calculation:
SG = Fm-3m, No. 225
ΔE_f (raw) = -0.6737 eV/atom
Fermi-level density of states = 1.335 states/eV per atom
Calculated density = 4.72 Mg/m³
Calculated total energy = -2.96 eV/atom

---

(8)
The following is a PBE calculation of an optimized crystal structure of Rb2VRuI6, from the Alexandria database.

```
data_Rb2VRuI6
_chemical_formula_sum 'Rb2 V1 Ru1 I6'
_symmetry_space_group_name_H-M 'P 1'
_symmetry_Int_Tables_number 1
_symmetry_space_group_name_Hall 'P 1'
_cell_length_a 8.037
_cell_length_b 8.037
_cell_length_c 8.037
_cell_angle_alpha 119.93
_cell_angle_beta 119.93
_cell_angle_gamma 90.12
loop_
_atom_site_label
_atom_site_fract_x
_atom_site_fract_y
_atom_site_fract_z
Rb1 0.250 0.750 0.500
Rb2 0.750 0.250 0.500
V1 0.000 0.000 0.000
Ru1 0.500 0.500 0.000
I1 0.252 0.252 0.000
I2 0.252 0.252 0.503
I3 0.252 0.748 0.000
I4 0.748 0.252 0.000
I5 0.748 0.748 0.000
I6 0.748 0.748 0.497
```

Values from the calculation:
SG = I4/mmm, No. 139
ΔE_f (raw) = -0.5127 eV/atom
Fermi-level density of states = 1.762 states/eV per atom
Calculated density = 4.90 Mg/m³
Calculated total energy = -3.48 eV/atom

---

(9)
The following is a PBE calculation of an optimized crystal structure of Rb2ZnRuI6, from the Alexandria database.

```
data_Rb2ZnRuI6
_chemical_formula_sum 'Rb2 Zn1 Ru1 I6'
_symmetry_space_group_name_H-M 'P 1'
_symmetry_Int_Tables_number 1
_symmetry_space_group_name_Hall 'P 1'
_cell_length_a 8.058
_cell_length_b 8.058
_cell_length_c 8.058
_cell_angle_alpha 119.36
_cell_angle_beta 119.36
_cell_angle_gamma 91.12
loop_
_atom_site_label
_atom_site_fract_x
_atom_site_fract_y
_atom_site_fract_z
Rb1 0.250 0.750 0.500
Rb2 0.750 0.250 0.500
Zn1 0.000 0.000 0.000
Ru1 0.500 0.500 0.000
I1 0.254 0.254 0.000
I2 0.261 0.261 0.521
I3 0.261 0.739 0.000
I4 0.739 0.261 0.000
I5 0.739 0.739 0.479
I6 0.746 0.746 0.000
```

Values from the calculation:
SG = I4/mmm, No. 139
ΔE_f (raw) = -0.5784 eV/atom
Fermi-level density of states = 0.865 states/eV per atom
Calculated density = 4.88 Mg/m³
Calculated total energy = -2.76 eV/atom

---

(10)
The following is a PBE calculation of an optimized crystal structure of RbZnRuI2, from the Alexandria database.

```
data_RbZnRuI2
_chemical_formula_sum 'Rb1 Zn1 Ru1 I2'
_symmetry_space_group_name_H-M 'P 1'
_symmetry_Int_Tables_number 1
_symmetry_space_group_name_Hall 'P 1'
_cell_length_a 5.928
_cell_length_b 5.928
_cell_length_c 4.966
_cell_angle_alpha 90.00
_cell_angle_beta 90.00
_cell_angle_gamma 90.00
loop_
_atom_site_label
_atom_site_fract_x
_atom_site_fract_y
_atom_site_fract_z
Rb1 0.000 0.000 0.000
Zn1 0.500 0.500 0.500
Ru1 0.500 0.500 0.000
I1 0.000 0.500 0.500
I2 0.500 0.000 0.500
```

Values from the calculation:
SG = P4/mmm, No. 123
ΔE_f (raw) = 0.2933 eV/atom
Fermi-level density of states = 1.194 states/eV per atom
Calculated density = 4.81 Mg/m³
Calculated total energy = -2.63 eV/atom

---

(11)
The following is a PBE calculation of an optimized crystal structure of Rb2S4I, from the Alexandria database.

```
data_Rb2S4I
_chemical_formula_sum 'Rb4 S8 I2'
_symmetry_space_group_name_H-M 'P 1'
_symmetry_Int_Tables_number 1
_symmetry_space_group_name_Hall 'P 1'
_cell_length_a 5.255
_cell_length_b 5.255
_cell_length_c 16.711
_cell_angle_alpha 90.00
_cell_angle_beta 90.00
_cell_angle_gamma 90.00
loop_
_atom_site_label
_atom_site_fract_x
_atom_site_fract_y
_atom_site_fract_z
Rb1 0.000 0.000 0.143
Rb2 0.000 0.000 0.857
Rb3 0.500 0.500 0.357
Rb4 0.500 0.500 0.643
S1 0.000 0.000 0.348
S2 0.000 0.000 0.652
S3 0.000 0.500 0.000
S4 0.000 0.500 0.500
S5 0.500 0.000 0.000
S6 0.500 0.000 0.500
S7 0.500 0.500 0.152
S8 0.500 0.500 0.848
I1 0.000 0.000 0.500
I2 0.500 0.500 0.000
```

Values from the calculation:
SG = I4/mmm, No. 139
ΔE_f (raw) = -0.0569 eV/atom
Fermi-level density of states = 1.305 states/eV per atom
Calculated density = 3.07 Mg/m³
Calculated total energy = -2.91 eV/atom

---

(12)
The following is a PBE calculation of an optimized crystal structure of RbS2I2, from the Alexandria database.

```
data_RbS2I2
_chemical_formula_sum 'Rb2 S4 I4'
_symmetry_space_group_name_H-M 'P 1'
_symmetry_Int_Tables_number 1
_symmetry_space_group_name_Hall 'P 1'
_cell_length_a 5.759
_cell_length_b 5.759
_cell_length_c 12.431
_cell_angle_alpha 90.00
_cell_angle_beta 90.00
_cell_angle_gamma 90.00
loop_
_atom_site_label
_atom_site_fract_x
_atom_site_fract_y
_atom_site_fract_z
Rb1 0.000 0.000 0.000
Rb2 0.500 0.500 0.500
S1 0.000 0.500 0.250
S2 0.000 0.500 0.750
S3 0.500 0.000 0.250
S4 0.500 0.000 0.750
I1 0.000 0.000 0.275
I2 0.000 0.000 0.725
I3 0.500 0.500 0.225
I4 0.500 0.500 0.775
```

Values from the calculation:
SG = I4/mmm, No. 139
ΔE_f (raw) = -0.0801 eV/atom
Fermi-level density of states = 0.365 states/eV per atom
Calculated density = 3.25 Mg/m³
Calculated total energy = -2.54 eV/atom

---

(13)
The following is a PBE calculation of an optimized crystal structure of Rb4SI, from the Alexandria database.

```
data_Rb4SI
_chemical_formula_sum 'Rb4 S1 I1'
_symmetry_space_group_name_H-M 'P 1'
_symmetry_Int_Tables_number 1
_symmetry_space_group_name_Hall 'P 1'
_cell_length_a 5.843
_cell_length_b 5.843
_cell_length_c 8.911
_cell_angle_alpha 90.00
_cell_angle_beta 90.00
_cell_angle_gamma 90.00
loop_
_atom_site_label
_atom_site_fract_x
_atom_site_fract_y
_atom_site_fract_z
Rb1 0.000 0.500 0.206
Rb2 0.000 0.500 0.794
Rb3 0.500 0.000 0.206
Rb4 0.500 0.000 0.794
S1 0.000 0.000 0.000
I1 0.500 0.500 0.500
```

Values from the calculation:
SG = P4/mmm, No. 123
ΔE_f (raw) = -0.8898 eV/atom
Fermi-level density of states = 0.385 states/eV per atom
Calculated density = 2.73 Mg/m³
Calculated total energy = -2.48 eV/atom